Record 1
DFT (PBE) results for a geometry-optimized Zn4Te5 structure.

abc: 8.1100 8.1100 7.8834
angles: 90.00 90.00 120.00
Sites, in units of the cell vectors:
Zn (0.0000, 0.0000, 0.0000)
Zn (0.0000, 0.0000, 0.5000)
Zn (0.0000, 0.4098, 0.2500)
Zn (0.5902, 0.5902, 0.2500)
Zn (0.4098, 0.0000, 0.2500)
Zn (0.0000, 0.5902, 0.7500)
Zn (0.4098, 0.4098, 0.7500)
Zn (0.5902, 0.0000, 0.7500)
Te (0.0000, 0.7463, 0.2500)
Te (0.2537, 0.2537, 0.2500)
Te (0.7463, 0.0000, 0.2500)
Te (0.0000, 0.2537, 0.7500)
Te (0.7463, 0.7463, 0.7500)
Te (0.2537, 0.0000, 0.7500)
Te (0.6667, 0.3333, 0.0000)
Te (0.3333, 0.6667, 0.5000)
Te (0.3333, 0.6667, 0.0000)
Te (0.6667, 0.3333, 0.5000)

Computed properties:
Raw total energy: -2.223 eV/atom
ΔE_f (raw): 8.6 kJ/mol of atoms
Size of the total moment: 0.00 μB per cell

***

Record 2
DFT (PBE) results for a geometry-optimized TeRh3Pb structure.

abc: 4.8892 4.8892 4.8892
angles: 90.00 90.00 90.00
Sites, in units of the cell vectors:
Pb (0.5000, 0.5000, 0.5000)
Te (0.0000, 0.0000, 0.0000)
Rh (0.0000, 0.5000, 0.0000)
Rh (0.0000, 0.0000, 0.5000)
Rh (0.5000, 0.0000, 0.0000)

Computed properties:
Raw total energy: -5.213 eV/atom
ΔE_f (raw): 54.8 kJ/mol of atoms
Size of the total moment: 1.25 μB per cell

***

Record 3
DFT (PBE) results for a geometry-optimized UPaFe structure.

abc: 2.7291 4.7699 4.7699
angles: 120.00 90.00 90.00
Sites, in units of the cell vectors:
Pa (0.1670, 0.0000, 0.0000)
U (0.1670, 0.6667, 0.3333)
Fe (0.6660, 0.3333, 0.6667)

Computed properties:
Raw total energy: -9.617 eV/atom
Size of the total moment: 1.56 μB per cell
Formation energy: 131.6 meV per atom